(1)
VASP calculation (PBE) on crystalline TaPdC at its relaxed geometry.

a = 4.0404 Å, b = 4.0404 Å, c = 4.0404 Å
α = 60.00°, β = 60.00°, γ = 60.00°
Closest atoms and distances in Å follow each position.
Element x y z (fractional)
C (0.2500, 0.2500, 0.2500)  4 Ta 2.47
Pd (0.7500, 0.7500, 0.7500)  4 Ta 2.47
Ta (0.5000, 0.5000, 0.5000)  4 Pd 2.47, 4 C 2.47

Values from the calculation:
* volume: 15.546 Å³/atom
* crystal system: cubic
* symmetry: F-43m (216)
* calculated density: 10.7 g/cm3
* raw total energy: -7.692 eV/atom

(2)
VASP calculation (PBE) on crystalline Th3PdC at its relaxed geometry.

a = 3.7544 Å, b = 10.0867 Å, c = 6.5881 Å
α = 90.00°, β = 106.51°, γ = 90.00°
Closest atoms and distances in Å follow each position.
Element x y z (fractional)
Th (0.9381, 0.7500, 0.3751)  2 C 2.64
Th (0.3693, 0.0577, 0.2382)  2 C 2.57
Th (0.6307, 0.9423, 0.7618)  2 C 2.57
Th (0.6307, 0.5577, 0.7618)  2 C 2.57
Th (0.3693, 0.4423, 0.2382)  2 C 2.57
Th (0.0619, 0.2500, 0.6249)  2 C 2.64
Pd (0.2454, 0.7500, 0.9914)  6 Th 3.06-3.07
Pd (0.7546, 0.2500, 0.0086)  6 Th 3.06-3.07
C (0.0000, 0.5000, 0.5000)  6 Th 2.57-2.64
C (0.0000, 0.0000, 0.5000)  6 Th 2.57-2.64

Values from the calculation:
* volume: 23.921 Å³/atom
* crystal system: orthorhombic
* symmetry: Cmcm (63)
* calculated density: 11.3 g/cm3
* raw total energy: -7.792 eV/atom